Below is a relaxed structure of ScPaFePt, with properties calculated at the PBE level.

Unit cell a=4.755 b=4.755 c=4.755 alpha=60.00 beta=60.00 gamma=60.00
Fractional positions:
Sc1 0.000 0.000 0.000
Pa1 0.500 0.500 0.500
Fe1 0.750 0.750 0.750
Pt1 0.250 0.250 0.250

Calculated values
- Energy relative to the elements: -451 meV per atom

Below is a relaxed structure of AcLaGePd, with properties calculated at the PBE level.

Unit cell a=5.367 b=5.367 c=5.367 alpha=60.00 beta=60.00 gamma=60.00
Fractional positions:
Ac1 0.000 0.000 0.000
La1 0.500 0.500 0.500
Ge1 0.750 0.750 0.750
Pd1 0.250 0.250 0.250

Calculated values
- Energy relative to the elements: -699 meV per atom

Below is a relaxed structure of Tb6DyIn6, with properties calculated at the PBE level.

Unit cell a=6.288 b=6.288 c=10.763 alpha=90.00 beta=90.00 gamma=120.00
Fractional positions:
Tb1 0.000 0.000 0.164
Tb2 0.000 0.000 0.836
Tb3 0.333 0.667 0.000
Tb4 0.333 0.667 0.500
Tb5 0.667 0.333 0.000
Tb6 0.667 0.333 0.500
Dy1 0.000 0.000 0.500
In1 0.000 0.500 0.254
In2 0.000 0.500 0.746
In3 0.500 0.000 0.254
In4 0.500 0.000 0.746
In5 0.500 0.500 0.254
In6 0.500 0.500 0.746

Calculated values
- Energy relative to the elements: -318 meV per atom